DFT (meta-GGA SCAN) results for a PBEsol-optimized structure of CrPtPb3.

Unit cell a=5.043 b=5.043 c=5.043 alpha=90.00 beta=90.00 gamma=90.00
Fractional positions:
Pb1 0.000 0.500 0.000
Pb2 0.000 0.000 0.500
Pb3 0.500 0.000 0.000
Cr1 0.000 0.000 0.000
Pt1 0.500 0.500 0.500

Results
energy: -62.5508 eV/atom
size of the total moment: 2.1 μB per formula unit
energy of formation: 306 kJ/mol of formula units
V: 25.65 Å³ per atom

DFT (meta-GGA SCAN) results for a PBEsol-optimized structure of Mg7Pb6.

Unit cell a=6.018 b=6.018 c=11.110 alpha=74.29 beta=74.29 gamma=60.00
Fractional positions:
Mg1 0.413 0.413 0.260
Mg2 0.914 0.413 0.260
Mg3 0.413 0.914 0.260
Mg4 0.587 0.587 0.740
Mg5 0.587 0.086 0.740
Mg6 0.086 0.587 0.740
Mg7 0.500 0.500 0.500
Pb1 0.950 0.950 0.151
Pb2 0.050 0.050 0.849
Pb3 0.843 0.843 0.472
Pb4 0.157 0.157 0.528
Pb5 0.667 0.667 0.999
Pb6 0.333 0.333 0.001

Results
energy: -37.7219 eV/atom
size of the total moment: 0.0 μB per formula unit
energy of formation: -85 kJ/mol of formula units
V: 25.46 Å³ per atom

DFT (meta-GGA SCAN) results for a PBEsol-optimized structure of LiVBO4.

Unit cell a=8.064 b=8.064 c=8.064 alpha=107.52 beta=107.52 gamma=107.52
Fractional positions:
Li1 0.452 0.058 0.239
Li2 0.777 0.547 0.947
Li3 0.947 0.777 0.547
Li4 0.058 0.239 0.452
Li5 0.239 0.452 0.058
Li6 0.547 0.947 0.777
V1 0.896 0.131 0.720
V2 0.427 0.213 0.612
V3 0.612 0.427 0.213
V4 0.720 0.896 0.131
V5 0.213 0.612 0.427
V6 0.131 0.720 0.896
B1 0.872 0.279 0.095
B2 0.787 0.383 0.575
B3 0.279 0.095 0.872
B4 0.383 0.575 0.787
B5 0.575 0.787 0.383
B6 0.095 0.872 0.279
O1 0.959 0.292 0.959
O2 0.750 0.076 0.040
O3 0.892 0.262 0.575
O4 0.926 0.588 0.662
O5 0.643 0.324 0.380
O6 0.755 0.391 0.087
O7 0.391 0.087 0.755
O8 0.677 0.350 0.691
O9 0.290 0.030 0.370
O10 0.370 0.290 0.030
O11 0.691 0.677 0.350
O12 0.076 0.040 0.750
O13 0.324 0.380 0.643
O14 0.959 0.959 0.292
O15 0.588 0.662 0.926
O16 0.662 0.926 0.588
O17 0.575 0.892 0.262
O18 0.380 0.643 0.324
O19 0.350 0.691 0.677
O20 0.030 0.370 0.290
O21 0.262 0.575 0.892
O22 0.087 0.755 0.391
O23 0.292 0.959 0.959
O24 0.040 0.750 0.076

Results
energy: -9.9970 eV/atom
size of the total moment: 1.0 μB per formula unit
energy above the lowest structure with this stoichiometry: 0.011 eV/atom
V: 10.25 Å³ per atom

DFT (meta-GGA SCAN) results for a PBEsol-optimized structure of Mg2CuP.

Unit cell a=3.747 b=3.787 c=5.020 alpha=90.00 beta=111.91 gamma=90.00
Fractional positions:
P1 0.818 0.000 0.636
Mg1 0.103 0.000 0.205
Mg2 0.396 0.500 0.793
Cu1 0.681 0.500 0.363

Results
energy: -9.3046 eV/atom
size of the total moment: 0.0 μB per formula unit
energy of formation: -161 kJ/mol of formula units
V: 16.52 Å³ per atom

DFT (meta-GGA SCAN) results for a PBEsol-optimized structure of TaAl2Ag.

Unit cell a=2.837 b=2.837 c=7.995 alpha=90.00 beta=90.00 gamma=90.00
Fractional positions:
Al1 0.000 0.000 0.749
Al2 0.000 0.000 0.251
Ag1 0.500 0.500 0.500
Ta1 0.500 0.500 0.000

Results
energy: -28.5594 eV/atom
size of the total moment: 0.0 μB per formula unit
energy above the lowest structure with this stoichiometry: 0.000 eV/atom
energy of formation: -76 kJ/mol of formula units
V: 16.09 Å³ per atom

DFT (meta-GGA SCAN) results for a PBEsol-optimized structure of TlInSi.

Unit cell a=4.798 b=4.798 c=4.798 alpha=60.00 beta=60.00 gamma=60.00
Fractional positions:
In1 0.250 0.250 0.250
Si1 0.000 0.000 0.000
Tl1 0.500 0.500 0.500

Results
energy: -38.0803 eV/atom
size of the total moment: 0.0 μB per formula unit
V: 26.04 Å³ per atom

DFT (meta-GGA SCAN) results for a PBEsol-optimized structure of SrGa2BSb.

Unit cell a=5.660 b=5.660 c=5.894 alpha=90.00 beta=90.00 gamma=90.00
Fractional positions:
Sb1 0.000 0.000 0.500
B1 0.500 0.500 0.500
Ga1 0.000 0.500 0.000
Ga2 0.500 0.000 0.000
Sr1 0.000 0.000 0.000

Results
energy: -18.1076 eV/atom
size of the total moment: 0.0 μB per formula unit
V: 37.77 Å³ per atom

DFT (meta-GGA SCAN) results for a PBEsol-optimized structure of MgZnCd.

Unit cell a=3.246 b=3.972 c=5.023 alpha=113.29 beta=108.85 gamma=90.00
Fractional positions:
Zn1 0.333 0.333 0.665
Mg1 0.669 0.669 0.339
Cd1 0.998 0.998 0.996

Results
energy: -16.3564 eV/atom
size of the total moment: 0.0 μB per formula unit
energy above the lowest structure with this stoichiometry: 0.036 eV/atom
energy of formation: -16 kJ/mol of formula units
V: 18.56 Å³ per atom

DFT (meta-GGA SCAN) results for a PBEsol-optimized structure of Ce4ZrO10.

Unit cell a=3.781 b=3.781 c=15.471 alpha=82.98 beta=82.98 gamma=60.00
Fractional positions:
Ce1 0.397 0.397 0.808
Ce2 0.799 0.799 0.603
Ce3 0.201 0.201 0.397
Ce4 0.603 0.603 0.192
Zr1 0.000 0.000 0.000
O1 0.954 0.954 0.139
O2 0.551 0.551 0.346
O3 0.150 0.150 0.551
O4 0.347 0.347 0.959
O5 0.748 0.748 0.757
O6 0.653 0.653 0.041
O7 0.252 0.252 0.243
O8 0.850 0.850 0.449
O9 0.046 0.046 0.861
O10 0.449 0.449 0.654

Results
energy: -21.8367 eV/atom
size of the total moment: 0.0 μB per formula unit
energy above the lowest structure with this stoichiometry: 0.000 eV/atom
V: 12.64 Å³ per atom

DFT (meta-GGA SCAN) results for a PBEsol-optimized structure of Ti2GaH.

Unit cell a=4.214 b=4.214 c=4.214 alpha=60.00 beta=60.00 gamma=60.00
Fractional positions:
H1 0.000 0.000 0.000
Ga1 0.500 0.500 0.500
Ti1 0.250 0.250 0.250
Ti2 0.750 0.750 0.750

Results
energy: -12.9453 eV/atom
size of the total moment: 0.0 μB per formula unit
V: 13.22 Å³ per atom

DFT (meta-GGA SCAN) results for a PBEsol-optimized structure of LiCd2In.

Unit cell a=3.038 b=3.038 c=8.959 alpha=90.00 beta=90.00 gamma=90.00
Fractional positions:
Li1 0.500 0.500 0.500
In1 0.500 0.500 0.000
Cd1 0.000 0.000 0.725
Cd2 0.000 0.000 0.275

Results
energy: -24.2845 eV/atom
size of the total moment: 0.0 μB per formula unit
energy of formation: -51 kJ/mol of formula units
V: 20.68 Å³ per atom

DFT (meta-GGA SCAN) results for a PBEsol-optimized structure of TaP4S5Cl5.

Unit cell a=6.714 b=13.325 c=17.523 alpha=90.00 beta=96.89 gamma=90.00
Fractional positions:
Ta1 0.315 0.199 0.034
Ta2 0.185 0.699 0.466
Ta3 0.685 0.801 0.966
Ta4 0.815 0.301 0.534
P1 0.710 0.431 0.796
P2 0.434 0.367 0.116
P3 0.022 0.836 0.254
P4 0.522 0.664 0.754
P5 0.066 0.867 0.384
P6 0.978 0.164 0.746
P7 0.809 0.504 0.192
P8 0.478 0.336 0.246
P9 0.934 0.133 0.616
P10 0.290 0.569 0.204
P11 0.790 0.931 0.704
P12 0.691 0.004 0.308
P13 0.191 0.496 0.808
P14 0.210 0.069 0.296
P15 0.566 0.633 0.884
P16 0.309 0.996 0.692
S1 0.092 0.883 0.704
S2 0.210 0.948 0.217
S3 0.790 0.922 0.409
S4 0.221 0.482 0.102
S5 0.279 0.982 0.398
S6 0.275 0.113 0.771
S7 0.210 0.078 0.591
S8 0.779 0.518 0.898
S9 0.775 0.387 0.271
S10 0.721 0.018 0.602
S11 0.592 0.617 0.204
S12 0.908 0.117 0.296
S13 0.290 0.578 0.909
S14 0.710 0.422 0.091
S15 0.790 0.052 0.783
S16 0.710 0.552 0.717
S17 0.725 0.887 0.229
S18 0.225 0.613 0.729
S19 0.408 0.383 0.796
S20 0.290 0.448 0.283
Cl1 0.584 0.292 0.623
Cl2 0.384 0.811 0.544
Cl3 0.544 0.132 0.131
Cl4 0.884 0.689 0.044
Cl5 0.786 0.946 0.025
Cl6 0.116 0.311 0.956
Cl7 0.214 0.054 0.975
Cl8 0.616 0.189 0.456
Cl9 0.286 0.554 0.525
Cl10 0.044 0.368 0.631
Cl11 0.956 0.632 0.369
Cl12 0.418 0.763 0.033
Cl13 0.714 0.446 0.475
Cl14 0.084 0.208 0.123
Cl15 0.416 0.708 0.377
Cl16 0.582 0.237 0.967
Cl17 0.456 0.868 0.869
Cl18 0.918 0.737 0.533
Cl19 0.916 0.792 0.877
Cl20 0.082 0.263 0.467

Results
energy: -13.7849 eV/atom
size of the total moment: 0.0 μB per formula unit
energy above the lowest structure with this stoichiometry: 0.008 eV/atom
V: 25.94 Å³ per atom

Q: Number 3 is which compound?
A: LiVBO4

Q: Which of these has the lowest energy?
A: CrPtPb3

Repeat the twelfth record exactly.
DFT (meta-GGA SCAN) results for a PBEsol-optimized structure of TaP4S5Cl5.

Unit cell a=6.714 b=13.325 c=17.523 alpha=90.00 beta=96.89 gamma=90.00
Fractional positions:
Ta1 0.315 0.199 0.034
Ta2 0.185 0.699 0.466
Ta3 0.685 0.801 0.966
Ta4 0.815 0.301 0.534
P1 0.710 0.431 0.796
P2 0.434 0.367 0.116
P3 0.022 0.836 0.254
P4 0.522 0.664 0.754
P5 0.066 0.867 0.384
P6 0.978 0.164 0.746
P7 0.809 0.504 0.192
P8 0.478 0.336 0.246
P9 0.934 0.133 0.616
P10 0.290 0.569 0.204
P11 0.790 0.931 0.704
P12 0.691 0.004 0.308
P13 0.191 0.496 0.808
P14 0.210 0.069 0.296
P15 0.566 0.633 0.884
P16 0.309 0.996 0.692
S1 0.092 0.883 0.704
S2 0.210 0.948 0.217
S3 0.790 0.922 0.409
S4 0.221 0.482 0.102
S5 0.279 0.982 0.398
S6 0.275 0.113 0.771
S7 0.210 0.078 0.591
S8 0.779 0.518 0.898
S9 0.775 0.387 0.271
S10 0.721 0.018 0.602
S11 0.592 0.617 0.204
S12 0.908 0.117 0.296
S13 0.290 0.578 0.909
S14 0.710 0.422 0.091
S15 0.790 0.052 0.783
S16 0.710 0.552 0.717
S17 0.725 0.887 0.229
S18 0.225 0.613 0.729
S19 0.408 0.383 0.796
S20 0.290 0.448 0.283
Cl1 0.584 0.292 0.623
Cl2 0.384 0.811 0.544
Cl3 0.544 0.132 0.131
Cl4 0.884 0.689 0.044
Cl5 0.786 0.946 0.025
Cl6 0.116 0.311 0.956
Cl7 0.214 0.054 0.975
Cl8 0.616 0.189 0.456
Cl9 0.286 0.554 0.525
Cl10 0.044 0.368 0.631
Cl11 0.956 0.632 0.369
Cl12 0.418 0.763 0.033
Cl13 0.714 0.446 0.475
Cl14 0.084 0.208 0.123
Cl15 0.416 0.708 0.377
Cl16 0.582 0.237 0.967
Cl17 0.456 0.868 0.869
Cl18 0.918 0.737 0.533
Cl19 0.916 0.792 0.877
Cl20 0.082 0.263 0.467

Results
energy: -13.7849 eV/atom
size of the total moment: 0.0 μB per formula unit
energy above the lowest structure with this stoichiometry: 0.008 eV/atom
V: 25.94 Å³ per atom